# MnAg2BW | Alexandria | GGA-PBE | relaxed
data_MnAg2BW
_cell_length_a 5.1280
_cell_length_b 4.0603
_cell_length_c 5.1280
_cell_angle_alpha 90.00
_cell_angle_beta 90.00
_cell_angle_gamma 90.00
_symmetry_space_group_name_H-M 'P 1'
_symmetry_Int_Tables_number 1
_symmetry_space_group_name_Hall 'P 1'
loop_
_atom_site_label
_atom_site_type_symbol
_atom_site_fract_x
_atom_site_fract_y
_atom_site_fract_z
B1 B 0.0000 0.5000 0.0000
Mn1 Mn 0.5000 0.5000 0.5000
Ag1 Ag 0.0000 0.0000 0.5000
Ag2 Ag 0.5000 0.0000 0.0000
W1 W 0.0000 0.0000 0.0000
# space-group type	P4/mmm, No. 123
# energy of formation from the pure elements	1.65	eV/atom
# volume	106.8	Å³/cell

# LiHfAl | Alexandria | GGA-PBE | relaxed
data_LiHfAl
_cell_length_a 4.3662
_cell_length_b 8.1449
_cell_length_c 3.1317
_cell_angle_alpha 90.00
_cell_angle_beta 90.00
_cell_angle_gamma 90.00
_symmetry_space_group_name_H-M 'P 1'
_symmetry_Int_Tables_number 1
_symmetry_space_group_name_Hall 'P 1'
loop_
_atom_site_label
_atom_site_type_symbol
_atom_site_fract_x
_atom_site_fract_y
_atom_site_fract_z
Hf1 Hf 0.0000 0.1073 0.0000
Hf2 Hf 0.5000 0.8927 0.5000
Al1 Al 0.0000 0.7492 0.0000
Al2 Al 0.5000 0.2508 0.5000
Li1 Li 0.0000 0.4587 0.5000
Li2 Li 0.5000 0.5413 0.0000
# space-group type	Pmmn, No. 59
# energy of formation from the pure elements	-0.17	eV/atom
# volume	111.4	Å³/cell
# distance to the lowest polymorph of the same formula	0.0	meV per atom

Q: What is the volume in the second record?
A: 111.4 Å³/cell

Q: The lowest volume belongs to which entry?
A: MnAg2BW

Q: Which formula does entry 2 have?
A: LiHfAl